Entry from Alexandria via LeMat-Bulk: a geometry-optimized Dy6InCo structure (PBE-GGA).

The structure in POSCAR format:
```
Dy6InCo
1.0
-4.725 -3.475 2.377
1.947 -3.531 -4.878
4.461 -1.409 4.113
Dy Co In
6 1 1
Cartesian
-1.380 -3.026 1.255 Dy
0.570 -5.368 3.066 Dy
2.146 -2.383 1.992 Dy
1.112 -3.047 -1.455 Dy
3.062 -5.389 0.356 Dy
-0.464 -6.032 -0.381 Dy
0.841 -4.207 0.806 Co
0.000 0.000 0.000 In
```

Calculated values
ΔE_f	-0.91	kcal/mol of atoms
DFT total energy	-4.722	eV/atom
calculated density	8.1	g cm⁻³
V	235	Å³/cell

***

Entry from Alexandria via LeMat-Bulk: a geometry-optimized DyInCo2 structure (PBE-GGA).

The structure in POSCAR format:
```
DyInCo2
1.0
4.542 0.000 0.000
2.271 3.933 0.000
2.271 1.311 3.708
Dy Co In
1 2 1
Cartesian
0.000 0.000 0.000 Dy
6.812 3.933 2.781 Co
2.271 1.311 0.927 Co
4.542 2.622 1.854 In
```

Calculated values
ΔE_f	-2.57	kcal/mol of atoms
DFT total energy	-5.500	eV/atom
calculated density	9.9	g cm⁻³
V	66	Å³/cell

***

Entry from Alexandria via LeMat-Bulk: a geometry-optimized DyInCo2 structure (PBE-GGA).

The structure in POSCAR format:
```
DyInCo2
1.0
-0.950 -3.862 -0.371
3.925 -1.244 2.898
-4.145 0.461 5.813
Co In Dy
4 2 2
Cartesian
0.000 0.000 0.000 Co
-3.263 -1.823 5.825 Co
2.093 -2.822 2.515 Co
1.963 -0.622 1.449 Co
-1.709 -0.012 4.497 In
1.489 -0.771 4.214 In
-0.524 -2.531 6.185 Dy
-0.646 -2.114 2.155 Dy
```

Calculated values
ΔE_f	-5.87	kcal/mol of atoms
DFT total energy	-5.642	eV/atom
calculated density	9.1	g cm⁻³
V	144	Å³/cell

***

Entry from Alexandria via LeMat-Bulk: a geometry-optimized Dy4In16Co3 structure (PBE-GGA).

The structure in POSCAR format:
```
Dy4In16Co3
1.0
6.550 0.000 0.000
0.000 6.550 0.000
0.000 0.000 12.192
In Co Dy
16 3 4
Cartesian
4.770 4.770 0.000 In
1.642 4.907 7.535 In
4.907 4.907 4.657 In
1.780 1.780 0.000 In
1.642 1.642 4.657 In
4.770 1.780 0.000 In
1.642 1.642 7.535 In
1.642 4.907 4.657 In
4.907 4.907 7.535 In
0.000 0.000 2.553 In
1.780 4.770 0.000 In
0.000 0.000 9.639 In
3.275 3.275 9.811 In
3.275 3.275 2.381 In
4.907 1.642 4.657 In
4.907 1.642 7.535 In
0.000 0.000 0.000 Co
0.000 3.275 6.096 Co
3.275 0.000 6.096 Co
0.000 3.275 2.393 Dy
0.000 3.275 9.798 Dy
3.275 0.000 2.393 Dy
3.275 0.000 9.798 Dy
```

Calculated values
ΔE_f	-5.99	kcal/mol of atoms
DFT total energy	-3.892	eV/atom
calculated density	8.5	g cm⁻³
V	523	Å³/cell

***

Entry from Alexandria via LeMat-Bulk: a geometry-optimized Dy8InCo2 structure (PBE-GGA).

The structure in POSCAR format:
```
Dy8InCo2
1.0
-3.391 3.408 -2.170
-5.249 -3.992 4.319
4.145 5.255 4.165
Dy In Co
8 1 2
Cartesian
-2.807 5.394 4.761 Dy
0.774 1.701 1.511 Dy
-4.581 0.039 3.195 Dy
-5.269 2.971 4.802 Dy
-1.688 -0.722 1.552 Dy
0.086 4.633 3.118 Dy
-2.800 2.874 1.776 Dy
-1.695 1.798 4.537 Dy
-1.695 1.704 -1.085 In
1.256 2.411 4.212 Co
-2.360 -1.148 4.271 Co
```

Calculated values
ΔE_f	-2.93	kcal/mol of atoms
DFT total energy	-5.015	eV/atom
calculated density	8.7	g cm⁻³
V	293	Å³/cell

***

Entry from Alexandria via LeMat-Bulk: a geometry-optimized Dy12InCo6 structure (PBE-GGA).

The structure in POSCAR format:
```
Dy12InCo6
1.0
8.360 0.000 0.000
-2.787 7.882 0.000
-2.787 -3.941 6.826
Co Dy In
6 12 1
Cartesian
2.157 -1.525 4.185 Co
3.417 3.495 0.772 Co
0.630 5.466 2.641 Co
4.943 1.079 3.413 Co
-2.157 2.862 3.413 Co
-0.630 0.446 6.054 Co
-2.178 5.162 2.067 Dy
3.395 3.511 3.437 Dy
2.178 0.791 5.504 Dy
4.965 -1.221 4.759 Dy
2.767 0.333 2.067 Dy
0.609 3.150 1.322 Dy
2.806 6.258 1.322 Dy
5.593 1.957 0.745 Dy
-2.806 1.984 6.081 Dy
0.019 3.608 4.759 Dy
-0.609 0.430 3.389 Dy
-0.019 -2.317 5.504 Dy
0.000 0.000 0.000 In
```

Calculated values
ΔE_f	-5.75	kcal/mol of atoms
DFT total energy	-5.544	eV/atom
calculated density	8.9	g cm⁻³
V	450	Å³/cell

***

Entry from Alexandria via LeMat-Bulk: a geometry-optimized LiDyInCo structure (PBE-GGA).

The structure in POSCAR format:
```
LiDyInCo
1.0
4.672 0.000 0.000
2.336 4.046 0.000
2.336 1.349 3.815
Li Dy Co In
1 1 1 1
Cartesian
0.000 0.000 0.000 Li
7.009 4.046 2.861 Dy
4.672 2.698 1.908 Co
2.336 1.349 0.954 In
```

Calculated values
ΔE_f	-4.27	kcal/mol of atoms
DFT total energy	-4.275	eV/atom
calculated density	7.9	g cm⁻³
V	72	Å³/cell

***

Entry from Alexandria via LeMat-Bulk: a geometry-optimized DyLuInCo structure (PBE-GGA).

The structure in POSCAR format:
```
DyLuInCo
1.0
5.029 0.000 0.000
2.514 4.355 0.000
2.514 1.452 4.106
Lu In Dy Co
1 1 1 1
Cartesian
7.543 4.355 3.080 Lu
0.000 0.000 0.000 In
2.514 1.452 1.027 Dy
5.029 2.903 2.053 Co
```

Calculated values
ΔE_f	-4.86	kcal/mol of atoms
DFT total energy	-4.952	eV/atom
calculated density	9.4	g cm⁻³
V	90	Å³/cell

***

Entry from Alexandria via LeMat-Bulk: a geometry-optimized DyMgInCo structure (PBE-GGA).

The structure in POSCAR format:
```
DyMgInCo
1.0
4.794 0.000 0.000
2.397 4.152 0.000
2.397 1.384 3.914
Mg Dy Co In
1 1 1 1
Cartesian
0.000 0.000 0.000 Mg
2.397 1.384 0.979 Dy
4.794 2.768 1.957 Co
7.191 4.152 2.936 In
```

Calculated values
ΔE_f	-1.65	kcal/mol of atoms
DFT total energy	-4.082	eV/atom
calculated density	7.7	g cm⁻³
V	78	Å³/cell

***

Entry from Alexandria via LeMat-Bulk: a geometry-optimized DyInCoNi structure (PBE-GGA).

The structure in POSCAR format:
```
DyInCoNi
1.0
4.582 0.000 0.000
2.291 3.968 0.000
2.291 1.323 3.742
Ni Co Dy In
1 1 1 1
Cartesian
2.291 1.323 0.935 Ni
6.874 3.968 2.806 Co
0.000 0.000 0.000 Dy
4.582 2.646 1.871 In
```

Calculated values
ΔE_f	-5.19	kcal/mol of atoms
DFT total energy	-5.282	eV/atom
calculated density	9.6	g cm⁻³
V	68	Å³/cell

***

Entry from Alexandria via LeMat-Bulk: a geometry-optimized PmDyInCo structure (PBE-GGA).

The structure in POSCAR format:
```
PmDyInCo
1.0
-3.722 -1.393 -3.289
-1.196 -4.984 -0.581
-4.487 -1.801 1.796
Pm Co In Dy
1 1 1 1
Cartesian
-7.054 -6.134 -1.555 Pm
-4.702 -4.089 -1.037 Co
0.000 0.000 0.000 In
-2.351 -2.045 -0.518 Dy
```

Calculated values
ΔE_f	-3.65	kcal/mol of atoms
DFT total energy	-4.957	eV/atom
calculated density	8.2	g cm⁻³
V	97	Å³/cell

***

Entry from Alexandria via LeMat-Bulk: a geometry-optimized DyInCoPt structure (PBE-GGA).

The structure in POSCAR format:
```
DyInCoPt
1.0
-2.251 4.107 -0.450
-1.794 1.255 -4.165
-4.663 0.071 -0.628
Co Pt In Dy
1 1 1 1
Cartesian
-4.354 2.717 -2.621 Co
0.000 0.000 0.000 Pt
-6.531 4.075 -3.932 In
-2.177 1.358 -1.311 Dy
```

Calculated values
ΔE_f	-11.76	kcal/mol of atoms
DFT total energy	-5.632	eV/atom
calculated density	12.0	g cm⁻³
V	74	Å³/cell